# 1
Computed, not measured: a crystal of LaSi2Hg relaxed with PBEsol at the SCAN level of DFT.

Cell: 3.6496 3.6496 6.4580 Å, 90.00 90.00 90.00°
Positions (direct):
La  0.0000  0.0000  0.0000
Si  0.5000  0.5000  0.3134
Si  0.5000  0.5000  0.6866
Hg  0.0000  0.0000  0.5000

Output
Fermi-level density of states   2.8 states/eV/f.u.
M_tot   0.00 μB per formula unit
Space group   P4/mmm, No. 123
E_form (uncorrected)   -0.04 eV per atom

# 2
Computed, not measured: a crystal of La4SiHg relaxed with PBEsol at the SCAN level of DFT.

Cell: 6.2374 6.2374 6.2374 Å, 60.00 60.00 60.00°
Positions (direct):
La  0.1228  0.1228  0.1228
La  0.1228  0.1228  0.6315
La  0.1228  0.6315  0.1228
La  0.6315  0.1228  0.1228
Si  0.7500  0.7500  0.7500
Hg  0.5000  0.5000  0.5000

Output
Fermi-level density of states   6.6 states/eV/f.u.
M_tot   0.00 μB per formula unit
Space group   F-43m, No. 216
E_form (uncorrected)   0.25 eV per atom

# 3
Computed, not measured: a crystal of La2YSiHg relaxed with PBEsol at the SCAN level of DFT.

Cell: 5.6737 5.6737 5.1485 Å, 90.00 90.00 90.00°
Positions (direct):
La  0.0000  0.5000  0.0000
La  0.5000  0.0000  0.0000
Y  0.0000  0.0000  0.0000
Si  0.0000  0.0000  0.5000
Hg  0.5000  0.5000  0.5000

Output
Fermi-level density of states   5.6 states/eV/f.u.
M_tot   1.01 μB per formula unit
Space group   P4/mmm, No. 123
E_form (uncorrected)   0.53 eV per atom

What did the second record say?
Computed, not measured: a crystal of La4SiHg relaxed with PBEsol at the SCAN level of DFT.

Cell: 6.2374 6.2374 6.2374 Å, 60.00 60.00 60.00°
Positions (direct):
La  0.1228  0.1228  0.1228
La  0.1228  0.1228  0.6315
La  0.1228  0.6315  0.1228
La  0.6315  0.1228  0.1228
Si  0.7500  0.7500  0.7500
Hg  0.5000  0.5000  0.5000

Output
Fermi-level density of states   6.6 states/eV/f.u.
M_tot   0.00 μB per formula unit
Space group   F-43m, No. 216
E_form (uncorrected)   0.25 eV per atom